No. 1
CaNbRh: relaxed, PBE-GGA.

The density of states at the Fermi level is 6.70 states/eV/cell. For the final energy, the calculation gives -0.4839 Ry/atom. As for the total magnetization: 0.00 μB/f.u. For the formation energy from the elements, the calculation gives -2.5 kcal/mol of atoms.

The structure belongs to space group R3m (No. 160, hexagonal axes); the cell edges are 4.2385, 4.2385 and 28.9782 Å and the angles 90.00°, 90.00° and 120.00°. Symmetry generates all atoms from Ca at (0.0000, 0.0000, 0.0000), Ca at (0.0000, 0.0000, 0.4426), Nb at (0.0000, 0.0000, 0.1891), Nb at (0.0000, 0.0000, 0.5785), Rh at (0.0000, 0.0000, 0.2817) and Rh at (0.0000, 0.0000, 0.8391).


No. 2
CaNb3Rh: relaxed, PBE-GGA.

The density of states at the Fermi level is 7.23 states/eV/cell. For the final energy, the calculation gives -0.5217 Ry/atom. As for the total magnetization: 0.00 μB/f.u. For the formation energy from the elements, the calculation gives 18.8 kcal/mol of atoms.

The structure belongs to space group Pm-3m (No. 221); the cell edges are 4.936, 4.936 and 4.936 Å and the angles 90.00°, 90.00° and 90.00°. Symmetry generates all atoms from Ca at (0.000, 0.000, 0.000), Nb at (0.000, 0.500, 0.500) and Rh at (0.500, 0.500, 0.500).


No. 3
Ca3NbRh: relaxed, PBE-GGA.

The density of states at the Fermi level is 3.66 states/eV/cell. For the final energy, the calculation gives -0.3063 Ry/atom. As for the total magnetization: 4.05 μB/f.u. For the formation energy from the elements, the calculation gives 11.9 kcal/mol of atoms.

The structure belongs to space group Pm-3m (No. 221); the cell edges are 5.403, 5.403 and 5.403 Å and the angles 90.00°, 90.00° and 90.00°. Symmetry generates all atoms from Ca at (0.000, 0.000, 0.500), Nb at (0.500, 0.500, 0.500) and Rh at (0.000, 0.000, 0.000).


No. 4
CaNbRh: relaxed, PBE-GGA.

The density of states at the Fermi level is 5.48 states/eV/cell. For the final energy, the calculation gives -0.4811 Ry/atom. As for the total magnetization: 0.00 μB/f.u. For the formation energy from the elements, the calculation gives -1.7 kcal/mol of atoms.

The structure belongs to space group P-1 (No. 2); the cell edges are 3.219, 4.433 and 10.622 Å and the angles 97.34°, 90.26° and 110.65°. Symmetry generates all atoms from Ca at (0.166, 0.323, 0.149), Nb at (0.369, 0.739, 0.570) and Rh at (0.103, 0.213, 0.669).


No. 5
Ca3NbRh: relaxed, PBE-GGA.

The density of states at the Fermi level is 8.82 states/eV/cell. For the final energy, the calculation gives -0.2461 Ry/atom. As for the total magnetization: 1.18 μB/f.u. For the formation energy from the elements, the calculation gives 30.8 kcal/mol of atoms.

The structure belongs to space group Pm-3m (No. 221); the cell edges are 5.317, 5.317 and 5.317 Å and the angles 90.00°, 90.00° and 90.00°. Symmetry generates all atoms from Ca at (0.000, 0.000, 0.500), Nb at (0.000, 0.000, 0.000) and Rh at (0.500, 0.500, 0.500).


No. 6
CaNbRh: relaxed, PBE-GGA.

The density of states at the Fermi level is 9.94 states/eV/cell. For the final energy, the calculation gives -0.4864 Ry/atom. As for the total magnetization: 0.00 μB/f.u. For the formation energy from the elements, the calculation gives -3.3 kcal/mol of atoms.

The structure belongs to space group C2/m (No. 12); the cell edges are 5.317, 15.345 and 3.019 Å and the angles 90.00°, 101.77° and 90.00°. Symmetry generates all atoms from Ca at (0.000, 0.186, 0.000), Nb at (0.240, 0.000, 0.794) and Rh at (0.000, 0.372, 0.500).


No. 7
CaNbRh: relaxed, PBE-GGA.

The density of states at the Fermi level is 3.25 states/eV/cell. For the final energy, the calculation gives -0.4981 Ry/atom. As for the total magnetization: 0.00 μB/f.u. For the formation energy from the elements, the calculation gives -7.0 kcal/mol of atoms.

The structure belongs to space group P4/nmm (No. 129, origin choice 2); the cell edges are 3.241, 3.241 and 12.368 Å and the angles 90.00°, 90.00° and 90.00°. Symmetry generates all atoms from Ca at (0.250, 0.250, 0.142), Nb at (0.250, 0.250, 0.426) and Rh at (0.250, 0.250, 0.690).


No. 8
Ca2NbRh: relaxed, PBE-GGA.

The density of states at the Fermi level is 8.24 states/eV/cell. For the final energy, the calculation gives -0.3579 Ry/atom. As for the total magnetization: 4.12 μB/f.u. For the formation energy from the elements, the calculation gives 11.2 kcal/mol of atoms.

The structure belongs to space group Fm-3m (No. 225); the cell edges are 7.199, 7.199 and 7.199 Å and the angles 90.00°, 90.00° and 90.00°. Symmetry generates all atoms from Ca at (0.250, 0.250, 0.250), Nb at (0.000, 0.000, 0.000) and Rh at (0.000, 0.000, 0.500).


No. 9
Ca2NbRh: relaxed, PBE-GGA.

The density of states at the Fermi level is 17.43 states/eV/cell. For the final energy, the calculation gives -0.3585 Ry/atom. As for the total magnetization: 2.08 μB/f.u. For the formation energy from the elements, the calculation gives 11.0 kcal/mol of atoms.

The structure belongs to space group I-42d (No. 122); the cell edges are 10.294, 10.294 and 4.885 Å and the angles 90.00°, 90.00° and 90.00°. Symmetry generates all atoms from Ca at (0.105, 0.250, 0.125), Nb at (0.000, 0.000, 0.500) and Rh at (0.000, 0.000, 0.000).


No. 10
CaNb3Rh: relaxed, PBE-GGA.

The density of states at the Fermi level is 10.90 states/eV/cell. For the final energy, the calculation gives -0.4121 Ry/atom. As for the total magnetization: 0.00 μB/f.u. For the formation energy from the elements, the calculation gives 53.2 kcal/mol of atoms.

The structure belongs to space group Pm-3m (No. 221); the cell edges are 4.650, 4.650 and 4.650 Å and the angles 90.00°, 90.00° and 90.00°. Symmetry generates all atoms from Ca at (0.000, 0.000, 0.000), Nb at (0.000, 0.000, 0.500) and Rh at (0.500, 0.500, 0.500).


No. 11
CaNbRh: relaxed, PBE-GGA.

The density of states at the Fermi level is 10.32 states/eV/cell. For the final energy, the calculation gives -0.4807 Ry/atom. As for the total magnetization: 0.00 μB/f.u. For the formation energy from the elements, the calculation gives -1.5 kcal/mol of atoms.

The structure belongs to space group Cm (No. 8); the cell edges are 10.563, 4.371 and 7.501 Å and the angles 90.00°, 132.19° and 90.00°. Symmetry generates all atoms from Ca at (0.000, 0.000, 0.000), Ca at (0.002, 0.500, 0.658), Nb at (0.164, 0.500, 0.410), Nb at (0.325, 0.000, 0.069), Rh at (0.193, 0.000, 0.626) and Rh at (0.355, 0.500, 0.276).


No. 12
CaNbRh: relaxed, PBE-GGA.

The density of states at the Fermi level is 1.66 states/eV/cell. For the final energy, the calculation gives -0.4842 Ry/atom. As for the total magnetization: 0.00 μB/f.u. For the formation energy from the elements, the calculation gives -2.6 kcal/mol of atoms.

The structure belongs to space group P3m1 (No. 156); the cell edges are 4.2457, 4.2457 and 9.4551 Å and the angles 90.00°, 90.00° and 120.00°. Symmetry generates all atoms from Ca at (0.0000, 0.0000, 0.0000), Ca at (0.3333, 0.6667, 0.3180), Nb at (0.3333, 0.6667, 0.7322), Nb at (0.6667, 0.3333, 0.5616), Rh at (0.0000, 0.0000, 0.5109) and Rh at (0.6667, 0.3333, 0.8440).


Copy entry 4 word for word.
CaNbRh: relaxed, PBE-GGA.

The density of states at the Fermi level is 5.48 states/eV/cell. For the final energy, the calculation gives -0.4811 Ry/atom. As for the total magnetization: 0.00 μB/f.u. For the formation energy from the elements, the calculation gives -1.7 kcal/mol of atoms.

The structure belongs to space group P-1 (No. 2); the cell edges are 3.219, 4.433 and 10.622 Å and the angles 97.34°, 90.26° and 110.65°. Symmetry generates all atoms from Ca at (0.166, 0.323, 0.149), Nb at (0.369, 0.739, 0.570) and Rh at (0.103, 0.213, 0.669).


Q: Which value of formation energy from the elements does entry 6 give?
A: -3.3 kcal/mol of atoms


Q: Among the records above, which one has the highest formation energy from the elements?
A: number 10